DFT (PBE-GGA) results for a relaxed structure of NpSc2Ag3Se6.

## Properties
crystal system: monoclinic
symmetry: No. 12
formation energy (no corrections): -0.9126 eV/atom
volume: 23.099 A^3/atom

Lattice parameters (Å, degrees): 7.044 7.044 6.863 99.69 99.69 120.15
Each line ends with the local moment (μB).
Fractional coordinates of all 12 atoms:
Se1 0.922 0.572 0.762  -0.03
Se2 0.273 0.273 0.763  -0.02
Se3 0.078 0.428 0.238  -0.03
Ag1 0.500 0.500 0.500  -0.01
Sc1 0.331 0.669 0.000  0.08
Se4 0.428 0.078 0.238  -0.03
Se5 0.572 0.922 0.762  -0.03
Ag2 0.843 0.157 0.500  -0.01
Ag3 0.157 0.843 0.500  -0.01
Se6 0.727 0.727 0.237  -0.02
Np1 0.000 0.000 0.000  3.83
Sc2 0.669 0.331 0.000  0.08